# 1
Material: Rb2TiReRh
Method: DFT, PBE
State: relaxed

Values from the calculation:
- E_form (meV per atom) = 1979
- symmetry = P4/mmm, No. 123

```
Rb2TiReRh
1.0
6.4545 0.0000 0.0000
0.0000 6.4545 0.0000
0.0000 0.0000 4.3975
Rb Ti Re Rh
2 1 1 1
direct
0.0000 0.5000 0.0000 Rb
0.5000 0.0000 0.0000 Rb
0.0000 0.0000 0.0000 Ti
0.0000 0.0000 0.5000 Re
0.5000 0.5000 0.5000 Rh
```

***

# 2
Material: LiTbHoRu
Method: DFT, PBE
State: relaxed

Values from the calculation:
- E_form (meV per atom) = -282
- symmetry = F-43m, No. 216

```
LiTbHoRu
1.0
0.0000 3.4697 3.4697
3.4697 0.0000 3.4697
3.4697 3.4697 0.0000
Li Tb Ho Ru
1 1 1 1
direct
0.0000 0.0000 0.0000 Li
0.7500 0.7500 0.7500 Tb
0.2500 0.2500 0.2500 Ho
0.5000 0.5000 0.5000 Ru
```

***

# 3
Material: CaPmSn6
Method: DFT, PBE
State: relaxed

Values from the calculation:
- E_form (meV per atom) = -443
- symmetry = P4/mmm, No. 123

```
CaPmSn6
1.0
4.7113 0.0000 0.0000
0.0000 4.7113 0.0000
0.0000 0.0000 9.7281
Ca Pm Sn
1 1 6
direct
0.0000 0.0000 0.0000 Ca
0.0000 0.0000 0.5000 Pm
0.0000 0.5000 0.2485 Sn
0.0000 0.5000 0.7515 Sn
0.5000 0.0000 0.2485 Sn
0.5000 0.0000 0.7515 Sn
0.5000 0.5000 0.0000 Sn
0.5000 0.5000 0.5000 Sn
```

***

# 4
Material: TcAg2Ru
Method: DFT, PBE
State: relaxed

Values from the calculation:
- E_form (meV per atom) = 375
- symmetry = Cmm2, No. 35

```
TcAg2Ru
1.0
1.4397 -2.3250 0.0000
1.4397 2.3250 0.0000
0.0000 0.0000 9.6899
Tc Ag Ru
1 2 1
direct
0.0000 0.0000 0.0000 Tc
0.0000 0.0000 0.4761 Ag
0.5000 0.5000 0.7380 Ag
0.5000 0.5000 0.2166 Ru
```

***

# 5
Material: SmY2Au6
Method: DFT, PBE
State: relaxed

Values from the calculation:
- E_form (meV per atom) = -774
- symmetry = C2/m, No. 12

```
SmY2Au6
1.0
2.6452 -8.1425 0.0000
2.6452 8.1425 0.0000
-2.5770 0.0000 4.5870
Sm Y Au
1 2 6
direct
0.0000 0.0000 0.0000 Sm
0.3344 0.6656 0.5000 Y
0.6656 0.3344 0.5000 Y
0.0031 0.6691 0.1688 Au
0.3309 0.9969 0.8312 Au
0.3438 0.3438 0.6727 Au
0.6562 0.6562 0.3273 Au
0.6691 0.0031 0.1688 Au
0.9969 0.3309 0.8312 Au
```

***

# 6
Material: VRuN
Method: DFT, PBE
State: relaxed

Values from the calculation:
- formation energy from raw total energies (eV per atom) = -0.1527
- symmetry = Aem2, No. 39

```
VRuN
1.0
4.6205 0.0000 0.0000
0.0000 2.8241 2.9384
0.0000 -2.8241 2.9384
V Ru N
2 2 2
direct
0.1575 0.2500 0.7500 V
0.8425 0.7500 0.2500 V
0.5000 0.2064 0.2064 Ru
0.5000 0.7064 0.7064 Ru
0.1737 0.9340 0.4340 N
0.8263 0.4340 0.9340 N
```

***

# 7
Material: BaLaGa3O7
Method: DFT, PBE
State: relaxed

Values from the calculation:
- formation energy from raw total energies (eV per atom) = -2.4379
- symmetry = Cmm2, No. 35

```
BaLaGa3O7
1.0
5.7748 -5.8869 0.0000
5.7748 5.8869 0.0000
0.0000 0.0000 5.4842
Ba La Ga O
2 2 6 14
direct
0.1632 0.8368 0.0000 Ba
0.8368 0.1632 0.0000 Ba
0.3378 0.3378 0.9809 La
0.6622 0.6622 0.9809 La
0.0000 0.5000 0.5036 Ga
0.1491 0.1491 0.5250 Ga
0.3618 0.6382 0.4629 Ga
0.5000 0.0000 0.5036 Ga
0.6382 0.3618 0.4629 Ga
0.8509 0.8509 0.5250 Ga
0.0000 0.0000 0.6461 O
0.0947 0.3399 0.7001 O
0.1609 0.1609 0.1947 O
0.1676 0.5780 0.3079 O
0.3399 0.0947 0.7001 O
0.3766 0.6234 0.7960 O
0.4220 0.8324 0.3079 O
0.5000 0.5000 0.2885 O
0.5780 0.1676 0.3079 O
0.6234 0.3766 0.7960 O
0.6601 0.9053 0.7001 O
0.8324 0.4220 0.3079 O
0.8391 0.8391 0.1947 O
0.9053 0.6601 0.7001 O
```

***

# 8
Material: NdHo4In
Method: DFT, PBE
State: relaxed

Values from the calculation:
- E_form (meV per atom) = -129
- symmetry = Cmc2_1, No. 36

```
NdHo4In
1.0
2.4353 -7.3931 0.0000
2.4353 7.3931 0.0000
0.0000 0.0000 9.9141
Nd Ho In
2 8 2
direct
0.1682 0.8318 0.5000 Nd
0.8318 0.1682 0.0000 Nd
0.0049 0.9951 0.7596 Ho
0.1662 0.8338 0.0166 Ho
0.3262 0.6738 0.7594 Ho
0.4980 0.5020 0.5089 Ho
0.5020 0.4980 0.0089 Ho
0.6738 0.3262 0.2594 Ho
0.8338 0.1662 0.5166 Ho
0.9951 0.0049 0.2596 Ho
0.3365 0.6635 0.2602 In
0.6635 0.3365 0.7602 In
```

***

# 9
Material: SrWSe2N
Method: DFT, PBE
State: relaxed

Values from the calculation:
- formation energy from raw total energies (eV per atom) = 1.9575
- symmetry = P4/mmm, No. 123

```
SrWSe2N
1.0
5.5840 0.0000 0.0000
0.0000 5.5840 0.0000
0.0000 0.0000 4.1953
Sr W Se N
1 1 2 1
direct
0.0000 0.0000 0.0000 Sr
0.5000 0.5000 0.5000 W
0.0000 0.5000 0.0000 Se
0.5000 0.0000 0.0000 Se
0.0000 0.0000 0.5000 N
```

***

# 10
Material: NaTcH4
Method: DFT, PBE
State: relaxed

Values from the calculation:
- symmetry = C2/c, No. 15
- final energy (hartree per atom) = -0.1534

```
NaTcH4
1.0
3.1457 -4.5795 0.0000
3.1457 4.5795 0.0000
-2.4888 0.0000 4.4219
Na Tc H
2 2 8
direct
0.1466 0.8534 0.7500 Na
0.8534 0.1466 0.2500 Na
0.4930 0.5070 0.7500 Tc
0.5070 0.4930 0.2500 Tc
0.2125 0.3344 0.8586 H
0.2761 0.5524 0.4471 H
0.3344 0.2125 0.3586 H
0.4476 0.7239 0.0529 H
0.5524 0.2761 0.9471 H
0.6656 0.7875 0.6414 H
0.7239 0.4476 0.5529 H
0.7875 0.6656 0.1414 H
```

***

# 11
Material: HoTm3Pb2C
Method: DFT, PBE
State: relaxed

Values from the calculation:
- E_form (meV per atom) = -547
- symmetry = Immm, No. 71

```
HoTm3Pb2C
1.0
-2.3792 2.3969 7.9410
2.3792 -2.3969 7.9410
2.3792 2.3969 -7.9410
Ho Tm Pb C
1 3 2 1
direct
0.0000 0.0000 0.0000 Ho
0.3440 0.8440 0.5000 Tm
0.5000 0.5000 0.0000 Tm
0.6560 0.1560 0.5000 Tm
0.1434 0.6434 0.5000 Pb
0.8566 0.3566 0.5000 Pb
0.5000 0.0000 0.5000 C
```

***

# 12
Material: Mn2PtBr
Method: DFT, PBE
State: relaxed

Values from the calculation:
- formation energy from raw total energies (eV per atom) = 0.2928
- symmetry = I-42d, No. 122

```
Mn2PtBr
1.0
-3.4184 3.4184 3.6725
3.4184 -3.4184 3.6725
3.4184 3.4184 -3.6725
Mn Pt Br
4 2 2
direct
0.1106 0.1250 0.4856 Mn
0.3750 0.8894 0.0144 Mn
0.6394 0.6250 0.5144 Mn
0.8750 0.3606 0.9856 Mn
0.0000 0.0000 0.0000 Pt
0.7500 0.2500 0.5000 Pt
0.2500 0.7500 0.5000 Br
0.5000 0.5000 0.0000 Br
```

***

# 13
Material: In2PAu
Method: DFT, PBE
State: relaxed

Values from the calculation:
- E_form (meV per atom) = 255
- symmetry = F-43m, No. 216

```
In2PAu
1.0
0.0000 3.5165 3.5165
3.5165 0.0000 3.5165
3.5165 3.5165 0.0000
In P Au
2 1 1
direct
0.0000 0.0000 0.0000 In
0.2500 0.2500 0.2500 In
0.7500 0.7500 0.7500 P
0.5000 0.5000 0.5000 Au
```

***

# 14
Material: PmYTlIn
Method: DFT, PBE
State: relaxed

Values from the calculation:
- E_form (meV per atom) = -439
- symmetry = F-43m, No. 216

```
PmYTlIn
1.0
0.0000 3.8255 3.8255
3.8255 0.0000 3.8255
3.8255 3.8255 0.0000
Pm Y Tl In
1 1 1 1
direct
0.0000 0.0000 0.0000 Pm
0.5000 0.5000 0.5000 Y
0.2500 0.2500 0.2500 Tl
0.7500 0.7500 0.7500 In
```

***

# 15
Material: SmDyCdCo
Method: DFT, PBE
State: relaxed

Values from the calculation:
- E_form (meV per atom) = -108
- symmetry = F-43m, No. 216

```
SmDyCdCo
1.0
0.0000 3.5986 3.5986
3.5986 0.0000 3.5986
3.5986 3.5986 0.0000
Sm Dy Cd Co
1 1 1 1
direct
0.0000 0.0000 0.0000 Sm
0.5000 0.5000 0.5000 Dy
0.2500 0.2500 0.2500 Cd
0.7500 0.7500 0.7500 Co
```

***

# 16
Material: PrPu2HfAs4
Method: DFT, PBE
State: relaxed

Values from the calculation:
- E_form (meV per atom) = -1114
- symmetry = P2/m, No. 10

```
PrPu2HfAs4
1.0
7.0713 0.0000 0.0000
0.0000 4.0942 0.0000
-2.3611 0.0000 6.7236
Pr Pu Hf As
1 2 1 4
direct
0.0000 0.0000 0.0000 Pr
0.5000 0.0000 0.5000 Pu
0.5000 0.5000 0.0000 Pu
0.0000 0.5000 0.5000 Hf
0.2394 0.0000 0.7317 As
0.2502 0.5000 0.2680 As
0.7498 0.5000 0.7320 As
0.7606 0.0000 0.2683 As
```

***

# 17
Material: SnOs2Ru
Method: DFT, PBE
State: relaxed

Values from the calculation:
- E_form (meV per atom) = 594
- symmetry = F-43m, No. 216

```
SnOs2Ru
1.0
0.0000 3.1652 3.1652
3.1652 0.0000 3.1652
3.1652 3.1652 0.0000
Sn Os Ru
1 2 1
direct
0.0000 0.0000 0.0000 Sn
0.2500 0.2500 0.2500 Os
0.5000 0.5000 0.5000 Os
0.7500 0.7500 0.7500 Ru
```

***

# 18
Material: DyTm12Sc3
Method: DFT, PBE
State: relaxed

Values from the calculation:
- E_form (meV per atom) = 40
- symmetry = P4/mmm, No. 123

```
DyTm12Sc3
1.0
4.8780 0.0000 0.0000
0.0000 4.8780 0.0000
0.0000 0.0000 19.5012
Dy Tm Sc
1 12 3
direct
0.0000 0.0000 0.0000 Dy
0.0000 0.5000 0.1283 Tm
0.0000 0.5000 0.3761 Tm
0.0000 0.5000 0.6239 Tm
0.0000 0.5000 0.8717 Tm
0.5000 0.0000 0.1283 Tm
0.5000 0.0000 0.3761 Tm
0.5000 0.0000 0.6239 Tm
0.5000 0.0000 0.8717 Tm
0.5000 0.5000 0.0000 Tm
0.5000 0.5000 0.2526 Tm
0.5000 0.5000 0.5000 Tm
0.5000 0.5000 0.7474 Tm
0.0000 0.0000 0.2519 Sc
0.0000 0.0000 0.5000 Sc
0.0000 0.0000 0.7481 Sc
```

***

# 19
Material: AcDyHoEr
Method: DFT, PBE
State: relaxed

Values from the calculation:
- E_form (meV per atom) = 129
- symmetry = F-43m, No. 216

```
AcDyHoEr
1.0
0.0000 4.1015 4.1015
4.1015 0.0000 4.1015
4.1015 4.1015 0.0000
Ac Dy Ho Er
1 1 1 1
direct
0.0000 0.0000 0.0000 Ac
0.5000 0.5000 0.5000 Dy
0.2500 0.2500 0.2500 Ho
0.7500 0.7500 0.7500 Er
```

***

# 20
Material: La2As4Pd3Au
Method: DFT, PBE
State: relaxed

Values from the calculation:
- E_form (meV per atom) = -862
- symmetry = P-4m2, No. 115

```
La2As4Pd3Au
1.0
4.5220 0.0000 0.0000
0.0000 4.5220 0.0000
0.0000 0.0000 10.0232
La As Pd Au
2 4 3 1
direct
0.0000 0.5000 0.2449 La
0.5000 0.0000 0.7551 La
0.0000 0.0000 0.0000 As
0.0000 0.5000 0.6371 As
0.5000 0.0000 0.3629 As
0.5000 0.5000 0.0000 As
0.0000 0.5000 0.8843 Pd
0.5000 0.0000 0.1157 Pd
0.5000 0.5000 0.5000 Pd
0.0000 0.0000 0.5000 Au
```